[1]
Here is a geometry-optimized VFeH2W structure from the Alexandria database. Energies are from GGA-PBE.

The structure in POSCAR format:
```
VFeH2W
1.0
3.4433 0.0000 0.0000
0.0000 3.4433 0.0000
0.0000 0.0000 4.4561
H Fe W V
2 1 1 1
direct
0.0000 0.5000 0.0000
0.5000 0.0000 0.0000
0.0000 0.0000 0.0000
0.5000 0.5000 0.5000
0.0000 0.0000 0.5000
```

Computed properties:
* raw total energy: -6.4390 eV/atom
* DOS at the Fermi energy: 1.0570 states/eV per atom

---

[2]
Here is a geometry-optimized YPa2Si6 structure from the Alexandria database. Energies are from GGA-PBE.

The structure in POSCAR format:
```
YPa2Si6
1.0
-0.6693 3.3123 -2.0017
-4.2679 -3.4973 -4.3601
-2.5940 2.9888 5.8132
Y Pa Si
1 2 6
direct
0.0000 0.0000 0.0000
0.0000 0.3333 0.6667
0.0000 0.6667 0.3333
0.5000 0.3343 0.3343
0.5000 0.6657 0.6657
0.5000 0.0000 0.6657
0.5000 0.6657 0.0000
0.5000 0.3343 0.0000
0.5000 0.0000 0.3343
```

Computed properties:
* E_form (uncorrected): -0.549 eV per atom
* DOS at the Fermi energy: 0.7219 states/eV per atom